First-principles (PBE+U) data for crystalline FeINO2 at its relaxed geometry, as listed in Alexandria via LeMat-Bulk.

Cell: 4.032 4.032 4.174 Å, 90.00 90.00 90.00°
Atoms (fractional coordinates):
I 0.000 0.000 0.500
Fe 0.500 0.500 0.500
O 0.000 0.500 0.000
O 0.500 0.000 0.000
N 0.000 0.000 0.000

- uncorrected energy (eV/cell) = -19.34
- N(E_F) (states/eV per atom) = 0.37